# 1
Material: AlTcMo
Method: DFT, GGA-PBEsol
State: relaxed

Results
The space group is I4mm (107). The calculation puts the formation energy at -0.314 eV/atom. The energy above the most stable polymorph in this dataset comes out at 0.0000 eV/atom. The calculation puts the total magnetic moment at 0.000 μB/atom.

Unit cell a=3.069 b=3.069 c=5.077 alpha=107.59 beta=107.59 gamma=90.00
Atoms (fractional coordinates):
Mo 0.676 0.676 0.352
Tc 0.327 0.327 0.655
Al 0.997 0.997 0.993

***

# 2
Material: AlTcMo
Method: DFT, GGA-PBEsol
State: relaxed

Results
The space group is Fmm2 (42). The calculation puts the formation energy at -0.060 eV/atom. The energy above the most stable polymorph in this dataset comes out at 0.2541 eV/atom. The calculation puts the total magnetic moment at 0.000 μB/atom.

Unit cell a=2.702 b=2.702 c=6.644 alpha=97.35 beta=97.35 gamma=111.76
Atoms (fractional coordinates):
Mo 0.669 0.669 0.337
Tc 0.334 0.334 0.667
Al 0.998 0.998 0.995